(1)
Density functional theory data (PBEsol) for crystalline BiPbSe2Cl at its relaxed geometry.

Computed properties:
Symmetry = No. 123
Formation energy (no corrections) = 338 meV per atom

```
BiPbSe2Cl
1.0
-2.1985 4.7805 0.4689
-2.5570 -0.7282 -4.5648
-4.8922 -2.5588 3.1486
Se Pb Cl Bi
2 1 1 1
direct
0.0000 0.5000 0.0000
0.5000 0.0000 0.0000
0.0000 0.0000 0.5000
0.5000 0.5000 0.5000
0.0000 0.0000 0.0000
```



(2)
Density functional theory data (PBEsol) for crystalline Bi2PtCl at its relaxed geometry.

Computed properties:
Symmetry = No. 122
Formation energy (no corrections) = -9 meV per atom

```
Bi2PtCl
1.0
6.7290 0.0000 0.0000
-3.3645 6.7295 0.1134
0.0000 3.2651 5.8837
Pt Bi Cl
2 4 2
direct
0.7500 0.5000 0.7500
0.0000 0.0000 0.0000
0.0782 0.7500 0.8750
0.8750 0.2500 0.6718
0.3750 0.2500 0.0782
0.6718 0.7500 0.3750
0.5000 0.0000 0.5000
0.2500 0.5000 0.2500
```



- Among the records above, which one has the highest formation energy (no corrections)?
  BiPbSe2Cl



- Number 2 is which compound?
  Bi2PtCl



What did the second record say?
Density functional theory data (PBEsol) for crystalline Bi2PtCl at its relaxed geometry.

Computed properties:
Symmetry = No. 122
Formation energy (no corrections) = -9 meV per atom

```
Bi2PtCl
1.0
6.7290 0.0000 0.0000
-3.3645 6.7295 0.1134
0.0000 3.2651 5.8837
Pt Bi Cl
2 4 2
direct
0.7500 0.5000 0.7500
0.0000 0.0000 0.0000
0.0782 0.7500 0.8750
0.8750 0.2500 0.6718
0.3750 0.2500 0.0782
0.6718 0.7500 0.3750
0.5000 0.0000 0.5000
0.2500 0.5000 0.2500
```